Entry 1:
A plane-wave DFT calculation with GGA-PBE was carried out for an optimized crystal structure of Li12MgCd3.

DOS(E_F) (states/eV per atom): 0.321
DFT formation energy (eV/atom): -0.13
Crystal system: tetragonal
Total energy (eV per atom): -1.838

Cell lengths 4.3037, 4.3037, 16.2896 Å; angles 90.00, 90.00, 90.00 degrees
Atoms (fractional coordinates):
Li 0.5000 0.5000 0.0000
Li 0.5000 0.5000 0.2556
Li 0.5000 0.5000 0.5000
Li 0.5000 0.5000 0.7444
Li 0.5000 0.0000 0.1329
Li 0.5000 0.0000 0.3779
Li 0.5000 0.0000 0.6221
Li 0.5000 0.0000 0.8671
Li 0.0000 0.5000 0.1329
Li 0.0000 0.5000 0.3779
Li 0.0000 0.5000 0.6221
Li 0.0000 0.5000 0.8671
Mg 0.0000 0.0000 0.0000
Cd 0.0000 0.0000 0.2547
Cd 0.0000 0.0000 0.5000
Cd 0.0000 0.0000 0.7453

***

Entry 2:
A plane-wave DFT calculation with GGA-PBE was carried out for an optimized crystal structure of Li2MgCd6.

DOS(E_F) (states/eV per atom): 0.298
Relative energy among the computed polymorphs (eV/atom): 0.112
DFT formation energy (eV/atom): -0.03
Crystal system: monoclinic
Total energy (eV per atom): -1.239

Cell lengths 5.9967, 6.4318, 6.4318 Å; angles 59.85, 89.69, 89.69 degrees
Atoms (fractional coordinates):
Li 0.8411 0.6660 0.6660
Li 0.1589 0.3340 0.3340
Mg 0.0000 0.0000 0.0000
Cd 0.3219 0.3652 0.8177
Cd 0.3240 0.8170 0.8170
Cd 0.3219 0.8177 0.3652
Cd 0.6781 0.6348 0.1823
Cd 0.6760 0.1830 0.1830
Cd 0.6781 0.1823 0.6348

***

Entry 3:
A plane-wave DFT calculation with GGA-PBE was carried out for an optimized crystal structure of Li4Mg3Cd.

DOS(E_F) (states/eV per atom): 0.327
Relative energy among the computed polymorphs (eV/atom): 0.094
DFT formation energy (eV/atom): -0.02
Crystal system: orthorhombic
Total energy (eV per atom): -1.690

Cell lengths 6.4812, 6.4812, 6.4812 Å; angles 77.81, 127.34, 127.20 degrees
Atoms (fractional coordinates):
Li 0.0810 0.7429 0.8239
Li 0.0810 0.2571 0.3381
Li 0.5908 0.2514 0.3395
Li 0.0881 0.7486 0.3395
Mg 0.5767 0.2575 0.8342
Mg 0.8569 0.0000 0.8569
Mg 0.5767 0.7425 0.3193
Cd 0.2997 0.5000 0.7997